(1)
Ca2CdHg8 | PBE | relaxed

```
data_Ca2CdHg8
_chemical_formula_sum 'Ca2 Cd1 Hg8'
_symmetry_space_group_name_H-M 'P 1'
_symmetry_Int_Tables_number 1
_symmetry_space_group_name_Hall 'P 1'
_cell_length_a 8.744
_cell_length_b 8.744
_cell_length_c 7.096
_cell_angle_alpha 108.99
_cell_angle_beta 108.99
_cell_angle_gamma 33.86
loop_
_atom_site_label
_atom_site_type_symbol
_atom_site_fract_x
_atom_site_fract_y
_atom_site_fract_z
_atom_site_occupancy
Ca1 Ca 0.209 0.209 0.176 1
Ca2 Ca 0.791 0.791 0.824 1
Cd1 Cd 0.500 0.500 0.500 1
Hg1 Hg 0.016 0.016 0.227 1
Hg2 Hg 0.160 0.160 0.677 1
Hg3 Hg 0.346 0.346 0.614 1
Hg4 Hg 0.393 0.393 0.073 1
Hg5 Hg 0.607 0.607 0.927 1
Hg6 Hg 0.654 0.654 0.386 1
Hg7 Hg 0.840 0.840 0.323 1
Hg8 Hg 0.984 0.984 0.773 1
```

Values from the calculation:
energy: -0.9182 eV per atom
ΔH_f (0 K): -251.6 meV/atom
ρ: 10.5 g/cm³
spin magnetization: 0.0 μB per formula unit


(2)
Ca2Cd2Hg3 | PBE | relaxed

```
data_Ca2Cd2Hg3
_chemical_formula_sum 'Ca4 Cd4 Hg6'
_symmetry_space_group_name_H-M 'P 1'
_symmetry_Int_Tables_number 1
_symmetry_space_group_name_Hall 'P 1'
_cell_length_a 10.574
_cell_length_b 4.881
_cell_length_c 7.352
_cell_angle_alpha 90.00
_cell_angle_beta 104.86
_cell_angle_gamma 90.00
loop_
_atom_site_label
_atom_site_type_symbol
_atom_site_fract_x
_atom_site_fract_y
_atom_site_fract_z
_atom_site_occupancy
Ca1 Ca 0.127 0.000 0.276 1
Ca2 Ca 0.373 0.500 0.724 1
Ca3 Ca 0.627 0.500 0.276 1
Ca4 Ca 0.873 0.000 0.724 1
Cd1 Cd 0.114 0.500 0.928 1
Cd2 Cd 0.386 0.000 0.072 1
Cd3 Cd 0.614 0.000 0.928 1
Cd4 Cd 0.886 0.500 0.072 1
Hg1 Hg 0.000 0.500 0.500 1
Hg2 Hg 0.179 0.000 0.718 1
Hg3 Hg 0.321 0.500 0.282 1
Hg4 Hg 0.500 0.000 0.500 1
Hg5 Hg 0.679 0.500 0.718 1
Hg6 Hg 0.821 0.000 0.282 1
```

Values from the calculation:
energy: -1.3154 eV per atom
ΔH_f (0 K): -352.8 meV/atom
ρ: 8.2 g/cm³
spin magnetization: 0.0 μB per formula unit


(3)
Ca4Cd2Hg | PBE | relaxed

```
data_Ca4Cd2Hg
_chemical_formula_sum 'Ca8 Cd4 Hg2'
_symmetry_space_group_name_H-M 'P 1'
_symmetry_Int_Tables_number 1
_symmetry_space_group_name_Hall 'P 1'
_cell_length_a 7.687
_cell_length_b 7.687
_cell_length_c 7.516
_cell_angle_alpha 90.00
_cell_angle_beta 90.00
_cell_angle_gamma 90.00
loop_
_atom_site_label
_atom_site_type_symbol
_atom_site_fract_x
_atom_site_fract_y
_atom_site_fract_z
_atom_site_occupancy
Ca1 Ca 0.250 0.250 0.250 1
Ca2 Ca 0.250 0.250 0.750 1
Ca3 Ca 0.250 0.750 0.250 1
Ca4 Ca 0.250 0.750 0.750 1
Ca5 Ca 0.750 0.250 0.250 1
Ca6 Ca 0.750 0.250 0.750 1
Ca7 Ca 0.750 0.750 0.250 1
Ca8 Ca 0.750 0.750 0.750 1
Cd1 Cd 0.000 0.500 0.000 1
Cd2 Cd 0.000 0.500 0.500 1
Cd3 Cd 0.500 0.000 0.000 1
Cd4 Cd 0.500 0.000 0.500 1
Hg1 Hg 0.000 0.000 0.000 1
Hg2 Hg 0.500 0.500 0.500 1
```

Values from the calculation:
energy: -1.7403 eV per atom
ΔH_f (0 K): -291.9 meV/atom
ρ: 4.4 g/cm³
spin magnetization: 0.0 μB per formula unit


(4)
Ca7Cd2Hg | PBE | relaxed

```
data_Ca7Cd2Hg
_chemical_formula_sum 'Ca14 Cd4 Hg2'
_symmetry_space_group_name_H-M 'P 1'
_symmetry_Int_Tables_number 1
_symmetry_space_group_name_Hall 'P 1'
_cell_length_a 9.569
_cell_length_b 9.569
_cell_length_c 11.017
_cell_angle_alpha 113.10
_cell_angle_beta 113.10
_cell_angle_gamma 47.30
loop_
_atom_site_label
_atom_site_type_symbol
_atom_site_fract_x
_atom_site_fract_y
_atom_site_fract_z
_atom_site_occupancy
Ca1 Ca 0.084 0.645 0.984 1
Ca2 Ca 0.092 0.908 0.750 1
Ca3 Ca 0.205 0.409 0.640 1
Ca4 Ca 0.206 0.610 0.410 1
Ca5 Ca 0.355 0.916 0.516 1
Ca6 Ca 0.390 0.794 0.090 1
Ca7 Ca 0.409 0.205 0.140 1
Ca8 Ca 0.591 0.795 0.860 1
Ca9 Ca 0.610 0.206 0.910 1
Ca10 Ca 0.645 0.084 0.484 1
Ca11 Ca 0.794 0.390 0.590 1
Ca12 Ca 0.795 0.591 0.360 1
Ca13 Ca 0.908 0.092 0.250 1
Ca14 Ca 0.916 0.355 0.016 1
Cd1 Cd 0.194 0.213 0.818 1
Cd2 Cd 0.213 0.194 0.318 1
Cd3 Cd 0.787 0.806 0.682 1
Cd4 Cd 0.806 0.787 0.182 1
Hg1 Hg 0.485 0.515 0.250 1
Hg2 Hg 0.515 0.485 0.750 1
```

Values from the calculation:
energy: -1.8601 eV per atom
ΔH_f (0 K): -245.8 meV/atom
ρ: 3.5 g/cm³
spin magnetization: 0.0 μB per formula unit


(5)
Ca8CdHg2 | PBE | relaxed

```
data_Ca8CdHg2
_chemical_formula_sum 'Ca8 Cd1 Hg2'
_symmetry_space_group_name_H-M 'P 1'
_symmetry_Int_Tables_number 1
_symmetry_space_group_name_Hall 'P 1'
_cell_length_a 8.539
_cell_length_b 8.539
_cell_length_c 5.938
_cell_angle_alpha 99.12
_cell_angle_beta 99.12
_cell_angle_gamma 112.81
loop_
_atom_site_label
_atom_site_type_symbol
_atom_site_fract_x
_atom_site_fract_y
_atom_site_fract_z
_atom_site_occupancy
Ca1 Ca 0.071 0.323 0.590 1
Ca2 Ca 0.233 0.767 0.000 1
Ca3 Ca 0.323 0.071 0.590 1
Ca4 Ca 0.373 0.373 0.188 1
Ca5 Ca 0.627 0.627 0.812 1
Ca6 Ca 0.677 0.929 0.410 1
Ca7 Ca 0.767 0.233 0.000 1
Ca8 Ca 0.929 0.677 0.410 1
Cd1 Cd 0.000 0.000 0.000 1
Hg1 Hg 0.316 0.684 0.500 1
Hg2 Hg 0.684 0.316 0.500 1
```

Values from the calculation:
energy: -1.8338 eV per atom
ΔH_f (0 K): -240.0 meV/atom
ρ: 3.6 g/cm³
spin magnetization: 0.0 μB per formula unit


(6)
CaCdHg | PBE | relaxed

```
data_CaCdHg
_chemical_formula_sum 'Ca4 Cd4 Hg4'
_symmetry_space_group_name_H-M 'P 1'
_symmetry_Int_Tables_number 1
_symmetry_space_group_name_Hall 'P 1'
_cell_length_a 7.276
_cell_length_b 7.276
_cell_length_c 7.276
_cell_angle_alpha 90.00
_cell_angle_beta 90.00
_cell_angle_gamma 90.00
loop_
_atom_site_label
_atom_site_type_symbol
_atom_site_fract_x
_atom_site_fract_y
_atom_site_fract_z
_atom_site_occupancy
Ca1 Ca 0.000 0.000 0.000 1
Ca2 Ca 0.000 0.500 0.500 1
Ca3 Ca 0.500 0.000 0.500 1
Ca4 Ca 0.500 0.500 0.000 1
Cd1 Cd 0.250 0.250 0.750 1
Cd2 Cd 0.250 0.750 0.250 1
Cd3 Cd 0.750 0.250 0.250 1
Cd4 Cd 0.750 0.750 0.750 1
Hg1 Hg 0.250 0.250 0.250 1
Hg2 Hg 0.250 0.750 0.750 1
Hg3 Hg 0.750 0.250 0.750 1
Hg4 Hg 0.750 0.750 0.250 1
```

Values from the calculation:
energy: -1.1522 eV per atom
ΔH_f (0 K): -79.4 meV/atom
ρ: 6.1 g/cm³
spin magnetization: 0.0 μB per formula unit


(7)
Ca3CdHg | PBE | relaxed

```
data_Ca3CdHg
_chemical_formula_sum 'Ca3 Cd1 Hg1'
_symmetry_space_group_name_H-M 'P 1'
_symmetry_Int_Tables_number 1
_symmetry_space_group_name_Hall 'P 1'
_cell_length_a 5.849
_cell_length_b 5.849
_cell_length_c 5.849
_cell_angle_alpha 90.00
_cell_angle_beta 90.00
_cell_angle_gamma 90.00
loop_
_atom_site_label
_atom_site_type_symbol
_atom_site_fract_x
_atom_site_fract_y
_atom_site_fract_z
_atom_site_occupancy
Ca1 Ca 0.000 0.000 0.500 1
Ca2 Ca 0.000 0.500 0.000 1
Ca3 Ca 0.500 0.000 0.000 1
Cd1 Cd 0.500 0.500 0.500 1
Hg1 Hg 0.000 0.000 0.000 1
```

Values from the calculation:
energy: -1.5103 eV per atom
ΔH_f (0 K): -66.0 meV/atom
ρ: 3.6 g/cm³
spin magnetization: 0.0 μB per formula unit


(8)
Ca2Cd6Hg | PBE | relaxed

```
data_Ca2Cd6Hg
_chemical_formula_sum 'Ca2 Cd6 Hg1'
_symmetry_space_group_name_H-M 'P 1'
_symmetry_Int_Tables_number 1
_symmetry_space_group_name_Hall 'P 1'
_cell_length_a 6.272
_cell_length_b 6.272
_cell_length_c 6.726
_cell_angle_alpha 90.02
_cell_angle_beta 90.02
_cell_angle_gamma 60.01
loop_
_atom_site_label
_atom_site_type_symbol
_atom_site_fract_x
_atom_site_fract_y
_atom_site_fract_z
_atom_site_occupancy
Ca1 Ca 0.166 0.166 0.369 1
Ca2 Ca 0.834 0.834 0.631 1
Cd1 Cd 0.149 0.674 0.166 1
Cd2 Cd 0.324 0.324 0.830 1
Cd3 Cd 0.326 0.851 0.834 1
Cd4 Cd 0.674 0.149 0.166 1
Cd5 Cd 0.676 0.676 0.170 1
Cd6 Cd 0.851 0.326 0.834 1
Hg1 Hg 0.500 0.500 0.500 1
```

Values from the calculation:
energy: -1.3414 eV per atom
ΔH_f (0 K): -253.0 meV/atom
ρ: 6.9 g/cm³
spin magnetization: 0.0 μB per formula unit